Entry from the Alexandria database: crystalline YAg2Cl6 at its relaxed geometry (PBE).

The space group is C2/m (No. 12) and the conventional cell measures 13.053, 4.673 and 9.005 Å, with angles of 90.00, 109.25 and 90.00 degrees. The inequivalent atoms are Y at (0.000, 0.000, 0.000), Ag at (0.184, 0.000, 0.629), Cl at (0.017, 0.000, 0.723), Cl at (0.132, 0.500, 0.075) and Cl at (0.204, 0.500, 0.582).

The calculation puts the relative energy among the computed polymorphs at 29 meV per atom. The formation energy from raw total energies comes out at -1.144 eV per atom.

---

Entry from the Alexandria database: crystalline PmSb2Pd at its relaxed geometry (PBE).

The space group is P4/mmm (No. 123) and the conventional cell measures 4.765, 4.765 and 4.197 Å, with angles of 90.00, 90.00 and 90.00 degrees. The inequivalent atoms are Pm at (0.000, 0.000, 0.000), Sb at (0.000, 0.500, 0.500) and Pd at (0.500, 0.500, 0.000).

The calculation puts the relative energy among the computed polymorphs at 179 meV per atom. The formation energy from raw total energies comes out at -0.642 eV per atom.

---

Entry from the Alexandria database: crystalline LaDy2NpP4 at its relaxed geometry (PBE).

The space group is P2/m (No. 10) and the conventional cell measures 7.024, 4.053 and 7.046 Å, with angles of 90.00, 109.34 and 90.00 degrees. The inequivalent atoms are La at (0.000, 0.000, 0.000), Dy at (0.500, 0.000, 0.500), Dy at (0.500, 0.500, 0.000), Np at (0.000, 0.500, 0.500), P at (0.251, 0.000, 0.741) and P at (0.256, 0.500, 0.263).

As for the energy of formation: -1.385 eV/atom.